Entry 1:
ScMn2TeRh GGA-PBE relaxed; raw total energy = -5.85 eV per atom; formation energy from raw total energies = 1.1781 eV per atom; ρ = 5.928 g/cm³; D(E_F) = 3.57 states/eV/f.u.; spin magnetization = 6.858 μB per formula unit
1.0
4.554 0.000 0.000
0.000 5.206 0.000
0.000 0.000 4.554
Te Rh Mn Sc
1 1 2 1
direct
0.000 0.500 0.000
0.500 0.500 0.500
0.500 0.000 0.000
0.000 0.000 0.500
0.000 0.000 0.000

=====

Entry 2:
Ti2Cd2Ru GGA-PBE relaxed; raw total energy = -4.88 eV per atom; offset from the most stable computed form = 1.623 eV per formula unit; calculated formation energy = 0.5008 eV per atom; ρ = 7.105 g/cm³; D(E_F) = 6.21 states/eV/f.u.; spin magnetization = 0.285 μB per formula unit
1.0
-0.928 3.497 0.597
-3.288 -0.616 -1.503
-4.772 -0.389 6.124
Cd Ti Ru
2 2 1
direct
0.750 0.250 0.500
0.250 0.750 0.500
0.580 0.580 0.840
0.420 0.420 0.160
0.000 0.000 0.000

=====

Entry 3:
CaCrTe GGA-PBE relaxed; raw total energy = -5.21 eV per atom; offset from the most stable computed form = 0.000 eV per formula unit; formation energy from raw total energies = -0.2922 eV per atom; ρ = 4.631 g/cm³; D(E_F) = 1.08 states/eV/f.u.; spin magnetization = 4.208 μB per formula unit
1.0
-0.577 -3.292 -3.210
1.899 -1.061 4.092
-3.843 -0.850 1.563
Cr Te Ca
1 1 1
direct
0.667 0.333 0.501
0.333 0.667 0.499
0.000 0.000 0.000